[1]
Entry from the Alexandria database: crystalline ScCrFe2 at its relaxed geometry (PBE).

Its formation energy is 0.147 eV per atom. As for the energy above the most stable polymorph in this dataset: 95 meV/atom. As for the total moment: 1.75 μB per formula unit.

The structure belongs to space group F-43m (No. 216); the cell edges are 6.0219, 6.0219 and 6.0219 Å and the angles 90.00°, 90.00° and 90.00°. Symmetry generates all atoms from Sc at (0.0000, 0.0000, 0.0000), Cr at (0.2500, 0.2500, 0.7500), Fe at (0.0000, 0.0000, 0.5000) and Fe at (0.2500, 0.2500, 0.2500).

=====

[2]
Entry from the Alexandria database: crystalline ScCrFe2Se at its relaxed geometry (PBE).

The raw formation energy is 5.0 eV per formula unit. As for the total moment: 0.31 μB per formula unit.

The structure belongs to space group P4/mmm (No. 123); the cell edges are 4.2446, 4.2446 and 4.8166 Å and the angles 90.00°, 90.00° and 90.00°. Symmetry generates all atoms from Sc at (0.0000, 0.0000, 0.0000), Cr at (0.5000, 0.5000, 0.0000), Fe at (0.0000, 0.5000, 0.5000) and Se at (0.0000, 0.0000, 0.5000).

=====

[3]
Entry from the Alexandria database: crystalline ScTaCrFe2 at its relaxed geometry (PBE).

Its formation energy is 0.985 eV per atom. As for the total moment: 1.73 μB per formula unit.

The structure belongs to space group P4/mmm (No. 123); the cell edges are 4.2308, 4.2308 and 4.4258 Å and the angles 90.00°, 90.00° and 90.00°. Symmetry generates all atoms from Sc at (0.0000, 0.0000, 0.0000), Ta at (0.5000, 0.5000, 0.0000), Cr at (0.0000, 0.0000, 0.5000) and Fe at (0.0000, 0.5000, 0.5000).